(1)
This record from Alexandria describes crystalline CdHg3Pb6 at its relaxed geometry. The functional is GGA-PBE.

DFT formation energy = 35 meV/atom
V = 29.37 A^3/atom

Cell lengths 11.7154, 3.3891, 15.7733 Å; angles 90.00, 110.30, 90.00 degrees
Positions (direct):
1 Cd 0.1294 0.2500 0.1823
2 Cd 0.8706 0.7500 0.8177
3 Hg 0.1214 0.2500 0.5743
4 Hg 0.3666 0.2500 0.3296
5 Hg 0.3853 0.7500 0.9364
6 Hg 0.6147 0.2500 0.0636
7 Hg 0.6334 0.7500 0.6704
8 Hg 0.8786 0.7500 0.4257
9 Pb 0.1093 0.2500 0.9635
10 Pb 0.1185 0.7500 0.7693
11 Pb 0.1323 0.7500 0.3842
12 Pb 0.3522 0.7500 0.1299
13 Pb 0.3836 0.2500 0.5369
14 Pb 0.3846 0.7500 0.7312
15 Pb 0.6154 0.2500 0.2688
16 Pb 0.6164 0.7500 0.4631
17 Pb 0.6478 0.2500 0.8701
18 Pb 0.8677 0.2500 0.6158
19 Pb 0.8815 0.2500 0.2307
20 Pb 0.8907 0.7500 0.0365

(2)
This record from Alexandria describes crystalline CdHg6Pb2 at its relaxed geometry. The functional is GGA-PBE.

DFT formation energy = 53 meV/atom
V = 27.52 A^3/atom

Cell lengths 3.3809, 3.3809, 25.0247 Å; angles 90.00, 90.00, 120.00 degrees
Positions (direct):
1 Cd 0.0000 0.0000 0.0000
2 Hg 0.0000 0.0000 0.2098
3 Hg 0.0000 0.0000 0.4404
4 Hg 0.0000 0.0000 0.5596
5 Hg 0.0000 0.0000 0.7902
6 Hg 0.3333 0.6667 0.1032
7 Hg 0.3333 0.6667 0.8968
8 Pb 0.3333 0.6667 0.3260
9 Pb 0.3333 0.6667 0.6740

(3)
This record from Alexandria describes crystalline CdHgPb2 at its relaxed geometry. The functional is GGA-PBE.

DFT formation energy = 38 meV/atom
V = 27.94 A^3/atom

Cell lengths 6.3899, 6.3899, 6.3899 Å; angles 146.44, 128.44, 62.93 degrees
Positions (direct):
1 Cd 0.0000 0.0000 0.0000
2 Hg 0.2224 0.7224 0.5000
3 Pb 0.4758 0.4758 0.0000
4 Pb 0.7508 0.2508 0.5000